Below is a relaxed SrMo2Rh crystal, with properties calculated at the PBE level.

Cell: 9.647 9.647 9.647 Å, 151.15 151.15 41.26°
Fractional coordinates of all 8 atoms:
Sr  0.375  0.625  0.750
Sr  0.625  0.375  0.250
Mo  0.000  0.000  0.000
Mo  0.000  0.000  0.500
Mo  0.000  0.500  0.000
Mo  0.500  0.000  0.500
Rh  0.125  0.875  0.250
Rh  0.875  0.125  0.750

## Properties
N(E_F) = 4.6 states/eV/f.u.
volume = 26.07 A^3/atom
calculated formation energy = 3.8 eV/f.u.

---

Below is a relaxed SrMo2Rh crystal, with properties calculated at the PBE level.

Cell: 5.653 5.653 2.784 Å, 90.00 90.00 123.42°
Fractional coordinates of all 4 atoms:
Sr  0.000  0.000  0.000
Mo  0.000  0.500  0.500
Mo  0.500  0.000  0.500
Rh  0.500  0.500  0.000

## Properties
N(E_F) = 3.9 states/eV/f.u.
volume = 18.57 A^3/atom
calculated formation energy = 3.3 eV/f.u.

---

Below is a relaxed SrMo2Rh crystal, with properties calculated at the PBE level.

Cell: 4.649 4.649 4.649 Å, 60.00 60.00 60.00°
Fractional coordinates of all 4 atoms:
Sr  0.000  0.000  0.000
Mo  0.250  0.250  0.250
Mo  0.750  0.750  0.750
Rh  0.500  0.500  0.500

## Properties
N(E_F) = 3.2 states/eV/f.u.
volume = 17.76 A^3/atom
calculated formation energy = 4.0 eV/f.u.

---

Below is a relaxed SrMo2Rh crystal, with properties calculated at the PBE level.

Cell: 2.973 2.973 8.890 Å, 90.00 90.00 103.48°
Fractional coordinates of all 4 atoms:
Sr  0.000  0.000  0.000
Mo  0.000  0.000  0.473
Mo  0.500  0.500  0.686
Rh  0.500  0.500  0.271

## Properties
N(E_F) = 3.4 states/eV/f.u.
volume = 19.11 A^3/atom
calculated formation energy = 2.0 eV/f.u.

---

Below is a relaxed SrMo2Rh crystal, with properties calculated at the PBE level.

Cell: 3.257 3.257 7.504 Å, 90.00 90.00 90.00°
Fractional coordinates of all 4 atoms:
Sr  0.000  0.000  0.000
Mo  0.000  0.000  0.501
Mo  0.500  0.500  0.335
Rh  0.500  0.500  0.714

## Properties
N(E_F) = 4.4 states/eV/f.u.
volume = 19.90 A^3/atom
calculated formation energy = 1.5 eV/f.u.

---

Below is a relaxed SrMo2Rh crystal, with properties calculated at the PBE level.

Cell: 6.256 6.256 6.256 Å, 154.07 133.04 54.42°
Fractional coordinates of all 4 atoms:
Sr  0.000  0.000  0.000
Mo  0.292  0.792  0.500
Mo  0.708  0.208  0.500
Rh  0.500  0.500  0.000

## Properties
N(E_F) = 3.7 states/eV/f.u.
volume = 19.47 A^3/atom
calculated formation energy = 2.2 eV/f.u.

---

Below is a relaxed SrMo2Rh crystal, with properties calculated at the PBE level.

Cell: 4.957 4.957 6.086 Å, 104.20 104.20 36.71°
Fractional coordinates of all 4 atoms:
Sr  0.000  0.000  0.000
Mo  0.203  0.203  0.626
Mo  0.496  0.496  0.490
Rh  0.768  0.768  0.314

## Properties
N(E_F) = 3.3 states/eV/f.u.
volume = 21.59 A^3/atom
calculated formation energy = 2.0 eV/f.u.

---

Below is a relaxed SrMo2Rh crystal, with properties calculated at the PBE level.

Cell: 2.810 2.810 9.500 Å, 90.00 90.00 92.76°
Fractional coordinates of all 4 atoms:
Sr  0.000  0.000  0.000
Mo  0.500  0.500  0.297
Mo  0.500  0.500  0.703
Rh  0.000  0.000  0.500

## Properties
N(E_F) = 6.1 states/eV/f.u.
volume = 18.73 A^3/atom
calculated formation energy = 2.7 eV/f.u.